1.
The following is a PBE-GGA calculation of Na2CuGe3Pt4 after structural relaxation, from Alexandria.

Properties
crystal system: tetragonal
ΔH_f (0 K): -4.32 eV per formula unit
symmetry: P-4m2, No. 115

a = 4.074 Å, b = 4.074 Å, c = 10.999 Å
α = 90.00°, β = 90.00°, γ = 90.00°
Atoms (fractional coordinates):
1 Na 0.500 0.000 0.260
2 Na 0.000 0.500 0.740
3 Cu 0.500 0.500 0.500
4 Ge 0.000 0.000 0.500
5 Ge 0.500 0.000 0.861
6 Ge 0.000 0.500 0.139
7 Pt 0.500 0.500 0.000
8 Pt 0.000 0.000 0.000
9 Pt 0.500 0.000 0.640
10 Pt 0.000 0.500 0.360

=====

2.
The following is a PBE-GGA calculation of RbNa2CuGe after structural relaxation, from Alexandria.

Properties
energy above the lowest structure with this stoichiometry: 0 meV per atom
crystal system: tetragonal
ΔH_f (0 K): 0.27 eV per formula unit
symmetry: P4/mmm, No. 123

a = 5.764 Å, b = 5.764 Å, c = 4.694 Å
α = 90.00°, β = 90.00°, γ = 90.00°
Atoms (fractional coordinates):
1 Na 0.000 0.500 0.000
2 Na 0.500 0.000 0.000
3 Ge 0.000 0.000 0.000
4 Cu 0.000 0.000 0.500
5 Rb 0.500 0.500 0.500

=====

3.
The following is a PBE-GGA calculation of RbNa2CuGe after structural relaxation, from Alexandria.

Properties
energy above the lowest structure with this stoichiometry: 8 meV per atom
crystal system: tetragonal
ΔH_f (0 K): 0.31 eV per formula unit
symmetry: P4/mmm, No. 123

a = 5.689 Å, b = 5.689 Å, c = 4.607 Å
α = 90.00°, β = 90.00°, γ = 90.00°
Atoms (fractional coordinates):
1 Na 0.000 0.500 0.000
2 Na 0.500 0.000 0.000
3 Ge 0.000 0.000 0.500
4 Cu 0.000 0.000 0.000
5 Rb 0.500 0.500 0.500

=====

4.
The following is a PBE-GGA calculation of Rb2NaCuGe after structural relaxation, from Alexandria.

Properties
crystal system: tetragonal
ΔH_f (0 K): 2.63 eV per formula unit
symmetry: P4/mmm, No. 123

a = 6.564 Å, b = 5.701 Å, c = 6.564 Å
α = 90.00°, β = 90.00°, γ = 90.00°
Atoms (fractional coordinates):
1 Na 0.000 0.500 0.000
2 Ge 0.000 0.000 0.000
3 Cu 0.500 0.500 0.500
4 Rb 0.000 0.000 0.500
5 Rb 0.500 0.000 0.000

=====

5.
The following is a PBE-GGA calculation of Na2Cu3Ge4Rh after structural relaxation, from Alexandria.

Properties
crystal system: tetragonal
ΔH_f (0 K): -1.27 eV per formula unit
symmetry: P-4m2, No. 115

a = 4.102 Å, b = 4.102 Å, c = 10.496 Å
α = 90.00°, β = 90.00°, γ = 90.00°
Atoms (fractional coordinates):
1 Na 0.500 0.000 0.251
2 Na 0.000 0.500 0.749
3 Cu 0.000 0.000 0.500
4 Cu 0.500 0.000 0.861
5 Cu 0.000 0.500 0.139
6 Ge 0.500 0.500 0.000
7 Ge 0.000 0.000 0.000
8 Ge 0.500 0.000 0.631
9 Ge 0.000 0.500 0.369
10 Rh 0.500 0.500 0.500

=====

6.
The following is a PBE-GGA calculation of Na2Cu4GeSb3 after structural relaxation, from Alexandria.

Properties
raw formation energy: -0.09 eV per atom
crystal system: tetragonal
symmetry: P-4m2, No. 115

a = 4.335 Å, b = 4.335 Å, c = 11.065 Å
α = 90.00°, β = 90.00°, γ = 90.00°
Atoms (fractional coordinates):
1 Na 0.500 0.000 0.244
2 Na 0.000 0.500 0.756
3 Cu 0.500 0.500 0.000
4 Cu 0.000 0.000 0.000
5 Cu 0.500 0.000 0.633
6 Cu 0.000 0.500 0.367
7 Ge 0.500 0.500 0.500
8 Sb 0.000 0.000 0.500
9 Sb 0.500 0.000 0.864
10 Sb 0.000 0.500 0.136

=====

7.
The following is a PBE-GGA calculation of NaCu3GeSe4 after structural relaxation, from Alexandria.

Properties
raw formation energy: -0.20 eV per atom
crystal system: cubic
symmetry: P-43m, No. 215

a = 6.013 Å, b = 6.013 Å, c = 6.013 Å
α = 90.00°, β = 90.00°, γ = 90.00°
Atoms (fractional coordinates):
1 Na 0.500 0.500 0.500
2 Cu 0.000 0.500 0.000
3 Cu 0.000 0.000 0.500
4 Cu 0.500 0.000 0.000
5 Ge 0.000 0.000 0.000
6 Se 0.229 0.229 0.229
7 Se 0.771 0.771 0.229
8 Se 0.229 0.771 0.771
9 Se 0.771 0.229 0.771

=====

8.
The following is a PBE-GGA calculation of NaCu2GeTe4 after structural relaxation, from Alexandria.

Properties
raw formation energy: -0.20 eV per atom
crystal system: orthorhombic
symmetry: Fmm2, No. 42

a = 6.482 Å, b = 6.482 Å, c = 7.357 Å
α = 116.13°, β = 116.13°, γ = 90.03°
Atoms (fractional coordinates):
1 Na 0.000 0.000 0.001
2 Cu 0.750 0.250 0.500
3 Cu 0.250 0.750 0.500
4 Ge 0.500 0.500 0.000
5 Te 0.584 0.584 0.714
6 Te 0.417 0.869 0.286
7 Te 0.869 0.417 0.286
8 Te 0.130 0.130 0.714

=====

9.
The following is a PBE-GGA calculation of NaTiCu2Ge after structural relaxation, from Alexandria.

Properties
crystal system: tetragonal
ΔH_f (0 K): 6.32 eV per formula unit
symmetry: P4/mmm, No. 123

a = 4.367 Å, b = 4.950 Å, c = 4.367 Å
α = 90.00°, β = 90.00°, γ = 90.00°
Atoms (fractional coordinates):
1 Na 0.000 0.000 0.000
2 Ge 0.500 0.500 0.500
3 Cu 0.000 0.000 0.500
4 Cu 0.500 0.000 0.000
5 Ti 0.000 0.500 0.000

=====

10.
The following is a PBE-GGA calculation of Na2TlCuGe after structural relaxation, from Alexandria.

Properties
crystal system: tetragonal
ΔH_f (0 K): 0.37 eV per formula unit
symmetry: P4/mmm, No. 123

a = 5.452 Å, b = 5.452 Å, c = 4.484 Å
α = 90.00°, β = 90.00°, γ = 90.00°
Atoms (fractional coordinates):
1 Na 0.000 0.500 0.000
2 Na 0.500 0.000 0.000
3 Tl 0.500 0.500 0.500
4 Ge 0.000 0.000 0.500
5 Cu 0.000 0.000 0.000

=====

11.
The following is a PBE-GGA calculation of Na2ZnCuGe2 after structural relaxation, from Alexandria.

Properties
crystal system: orthorhombic
ΔH_f (0 K): -0.31 eV per formula unit
symmetry: Ibam, No. 72

a = 5.864 Å, b = 5.889 Å, c = 8.238 Å
α = 110.94°, β = 110.85°, γ = 90.00°
Atoms (fractional coordinates):
1 Na 0.414 0.175 0.349
2 Na 0.586 0.825 0.651
3 Na 0.064 0.325 0.651
4 Na 0.936 0.675 0.349
5 Zn 0.000 0.750 0.000
6 Zn 0.000 0.250 0.000
7 Cu 0.500 0.750 0.000
8 Cu 0.500 0.250 0.000
9 Ge 0.833 0.103 0.206
10 Ge 0.373 0.603 0.206
11 Ge 0.627 0.397 0.794
12 Ge 0.167 0.897 0.794

=====

12.
The following is a PBE-GGA calculation of NaZnCuGe2 after structural relaxation, from Alexandria.

Properties
energy above the lowest structure with this stoichiometry: 480 meV per atom
crystal system: tetragonal
ΔH_f (0 K): 2.11 eV per formula unit
symmetry: P4/mmm, No. 123

a = 4.890 Å, b = 4.686 Å, c = 4.890 Å
α = 90.00°, β = 90.00°, γ = 90.00°
Atoms (fractional coordinates):
1 Na 0.500 0.500 0.500
2 Ge 0.000 0.000 0.500
3 Ge 0.500 0.000 0.000
4 Zn 0.000 0.000 0.000
5 Cu 0.000 0.500 0.000

=====

| no. | DOS(E_F) (states/eV/atom) |
| --- | --- |
| 1 | 0.392 |
| 2 | 0.219 |
| 3 | 0.309 |
| 4 | 0.986 |
| 5 | 0.368 |
| 6 | 0.546 |
| 7 | 0.503 |
| 8 | 1.056 |
| 9 | 0.754 |
| 10 | 0.377 |
| 11 | 0.436 |
| 12 | 0.609 |